No. 1
A geometry-optimized Os3W structure. Source: Alexandria via LeMat-Bulk, functional PBE-GGA.

## Properties
SG: No. 187

Cell: 2.772 2.772 8.876 Å, 90.00 90.00 120.00°
Sites, in units of the cell vectors:
W 0.333 0.667 0.750
Os 0.000 0.000 0.494
Os 0.333 0.667 0.250
Os 0.000 0.000 0.006

No. 2
A geometry-optimized Os4W11 structure. Source: Alexandria via LeMat-Bulk, functional PBE-GGA.

## Properties
SG: No. 136

Cell: 9.731 9.731 5.020 Å, 90.00 90.00 90.00°
Sites, in units of the cell vectors:
W 0.869 0.464 0.000
W 0.316 0.316 0.250
W 0.400 0.600 0.000
W 0.684 0.684 0.750
W 0.536 0.131 0.000
W 0.184 0.816 0.750
W 0.369 0.036 0.500
W 0.964 0.631 0.500
W 0.100 0.100 0.500
W 0.316 0.316 0.750
W 0.684 0.684 0.250
W 0.600 0.400 0.000
W 0.816 0.184 0.250
W 0.900 0.900 0.500
W 0.036 0.369 0.500
W 0.816 0.184 0.750
W 0.464 0.869 0.000
W 0.184 0.816 0.250
W 0.000 0.000 0.000
W 0.500 0.500 0.500
W 0.631 0.964 0.500
W 0.131 0.536 0.000
Os 0.932 0.738 0.000
Os 0.432 0.762 0.500
Os 0.738 0.932 0.000
Os 0.568 0.238 0.500
Os 0.238 0.568 0.500
Os 0.068 0.262 0.000
Os 0.262 0.068 0.000
Os 0.762 0.432 0.500

No. 3
A geometry-optimized OsW structure. Source: Alexandria via LeMat-Bulk, functional PBE-GGA.

## Properties
SG: No. 8

Cell: 5.346 5.346 6.607 Å, 75.63 75.63 30.14°
Sites, in units of the cell vectors:
W 0.331 0.331 0.332
W 0.954 0.954 0.613
W 0.272 0.272 0.944
Os 0.002 0.002 0.001
Os 0.609 0.609 0.275
Os 0.665 0.665 0.669

No. 4
A geometry-optimized Os3W structure. Source: Alexandria via LeMat-Bulk, functional PBE-GGA.

## Properties
SG: No. 221

Cell: 4.769 4.769 4.769 Å, 90.00 90.00 90.00°
Site moments in Bohr magnetons follow the coordinates.
Sites, in units of the cell vectors:
Os 0.000 0.000 0.500  1.05
Os 0.500 0.000 0.000  1.05
Os 0.000 0.500 0.000  1.05
W 0.000 0.000 0.000  -0.19

Computed values of E_form (unit: eV/atom) for the preceding records, in sequence: 0.05, 0.03, 0.08, 3.14.